{"formula": "Cs2NaYF6", "functional": "PBE", "state": "optimized geometry", "formation_energy_uncorrected_mev_per_atom": -3338, "sg": "Fm-3m (225)", "lattice": [[6.5012, 0.0000, 0.0000], [3.2506, 5.6302, 0.0000], [3.2506, 1.8767, 5.3082]], "species": ["Cs", "Cs", "Na", "Y", "F", "F", "F", "F", "F", "F"], "frac_coords": [[0.2500, 0.2500, 0.2500], [0.7500, 0.7500, 0.7500], [0.5000, 0.5000, 0.5000], [0.0000, 0.0000, 0.0000], [0.7606, 0.7606, 0.2394], [0.7606, 0.2394, 0.7606], [0.2394, 0.7606, 0.2394], [0.7606, 0.2394, 0.2394], [0.2394, 0.2394, 0.7606], [0.2394, 0.7606, 0.7606]]}

=====

{"formula": "CsNaY2F", "functional": "PBE", "state": "optimized geometry", "formation_energy_uncorrected_mev_per_atom": -435, "sg": "P4/mmm (123)", "lattice": [[-3.0135, -3.7967, 0.9262], [-0.8912, -1.0514, -7.2092], [3.8618, -3.0724, -0.0294]], "species": ["Cs", "Y", "Y", "F", "Na"], "frac_coords": [[0.5000, 0.5000, 0.5000], [0.0000, 0.0000, 0.5000], [0.5000, 0.0000, 0.0000], [0.0000, 0.0000, 0.0000], [0.0000, 0.5000, 0.0000]]}